DFT (GGA-PBEsol) results for a relaxed BaZn2Au crystal.

ρ in kg/m3: 8604
V in Å³/atom: 22.44
E_form in kJ/mol of atoms: -15
Magnetic moment in μB per cell: 0.0
Total energy in eV per cell: -9.86

abc: 3.5363 3.5363 7.1780
angles: 90.00 90.00 90.00
Space group P4mm (No. 99)
Asymmetric unit:
Ba 0.0000 0.0000 0.0000 [1 per cell]
Zn 0.0000 0.0000 0.4855 [1 per cell]
Zn 0.5000 0.5000 0.6750 [1 per cell]
Au 0.5000 0.5000 0.3143 [1 per cell]

=====

DFT (GGA-PBEsol) results for a relaxed BaZnAu crystal.

ρ in kg/m3: 6504
V in Å³/atom: 34.01
E_form in kJ/mol of atoms: 7
Magnetic moment in μB per cell: 0.0
Total energy in eV per cell: -29.69

abc: 7.4179 7.4179 7.4179
angles: 90.00 90.00 90.00
Space group F-43m (No. 216)
Asymmetric unit:
Ba 0.0000 0.0000 0.0000 [4 per cell]
Zn 0.2500 0.2500 0.7500 [4 per cell]
Au 0.2500 0.2500 0.2500 [4 per cell]